! Sm8Ag2Ir3, relaxed, DFT PBE; values from VASP
&SYSTEM
  ibrav = 0, nat = 13, ntyp = 3
/
ATOMIC_SPECIES
Ir 192.22 Ir.upf
Ag 107.87 Ag.upf
Sm 150.36 Sm.upf
ATOMIC_POSITIONS crystal
Ir 0.500 0.000 0.000
Ag 0.500 0.743 0.486
Sm 0.500 0.361 0.229
Ir 0.000 0.745 0.000
Sm 0.500 0.639 0.771
Sm 0.000 0.884 0.769
Sm 0.500 0.870 0.230
Sm 0.000 0.386 0.774
Sm 0.000 0.116 0.231
Ir 0.000 0.255 0.000
Sm 0.000 0.614 0.226
Sm 0.500 0.130 0.770
Ag 0.500 0.257 0.514
CELL_PARAMETERS angstrom
-4.845 -0.903 -0.036
0.794 -3.889 -9.232
0.818 -4.688 7.524
! * space group: No. 10
! * energy relative to the elements: -0.383 eV/atom
! * mass density: 9.11 g cm⁻³
! * DOS(E_F): 14.43 states/eV/cell